No. 1
Computed, not measured: Sr2CaAc3 after structural relaxation at the PBE level of DFT.

Geometry as POSCAR:
```
Sr2CaAc3
1.0
3.952 0.000 0.000
-1.976 9.577 -3.169
0.000 1.480 14.655
Ac Sr Ca
6 4 2
direct
0.079 0.158 0.444
0.258 0.515 0.612
0.596 0.192 0.686
0.742 0.485 0.388
0.921 0.842 0.556
0.404 0.808 0.314
0.746 0.492 0.123
0.431 0.861 0.806
0.569 0.139 0.194
0.254 0.508 0.877
0.914 0.828 0.049
0.086 0.172 0.951
```

Computed properties:
As for the formation energy: 74 meV per atom. As for the total DFT energy (no corrections): -2.874 eV/atom.


No. 2
Computed, not measured: Ba6Cd3H after structural relaxation at the PBE level of DFT.

Geometry as POSCAR:
```
Ba6Cd3H
1.0
7.630 0.000 0.000
0.000 10.699 0.120
0.000 -2.271 10.456
Ba Cd H
12 6 2
direct
0.706 0.869 0.448
0.200 0.752 0.691
0.206 0.448 0.869
0.479 0.918 0.082
0.979 0.082 0.918
0.200 0.309 0.248
0.213 0.701 0.299
0.706 0.552 0.131
0.700 0.691 0.752
0.700 0.248 0.309
0.713 0.299 0.701
0.206 0.131 0.552
0.426 0.482 0.518
0.926 0.518 0.482
0.511 0.012 0.765
0.511 0.235 0.988
0.011 0.988 0.235
0.011 0.765 0.012
0.532 0.759 0.241
0.032 0.241 0.759
```

Computed properties:
As for the total DFT energy (no corrections): -1.975 eV/atom.


No. 3
Computed, not measured: Cd8GaAu2 after structural relaxation at the PBE level of DFT.

Geometry as POSCAR:
```
Cd8GaAu2
1.0
-4.350 0.239 1.501
-1.019 -6.076 -1.986
4.995 -0.028 7.411
Ga Cd Au
1 8 2
direct
0.500 0.000 0.000
0.338 0.045 0.677
0.396 0.566 0.792
0.604 0.434 0.208
0.020 0.761 0.040
0.980 0.239 0.960
0.662 0.955 0.323
0.207 0.285 0.415
0.793 0.715 0.585
0.176 0.692 0.351
0.824 0.308 0.649
```

Computed properties:
As for the formation energy: -57 meV per atom. The energy above the most stable polymorph in this dataset comes out at 0 meV/atom. As for the total DFT energy (no corrections): -1.594 eV/atom.


No. 4
Computed, not measured: Pm4AlGe2 after structural relaxation at the PBE level of DFT.

Geometry as POSCAR:
```
Pm4AlGe2
1.0
-4.366 -0.990 -1.945
-0.332 -1.412 -4.661
-0.673 -10.222 0.588
Pm Ge Al
4 2 1
direct
0.380 0.380 0.861
0.795 0.795 0.615
0.205 0.205 0.385
0.620 0.620 0.139
0.097 0.097 0.710
0.903 0.903 0.290
0.000 0.000 0.000
```

Computed properties:
As for the formation energy: -474 meV per atom. As for the total DFT energy (no corrections): -5.043 eV/atom.


No. 5
Computed, not measured: RbYBeS3 after structural relaxation at the PBE level of DFT.

Geometry as POSCAR:
```
RbYBeS3
1.0
3.883 0.000 0.000
0.000 9.215 -0.388
0.000 -2.812 8.837
S Be Rb Y
6 2 2 2
direct
0.250 0.535 0.838
0.750 0.465 0.162
0.250 0.120 0.838
0.250 0.838 0.468
0.750 0.880 0.162
0.750 0.162 0.532
0.250 0.075 0.604
0.750 0.925 0.396
0.250 0.204 0.236
0.750 0.796 0.764
0.750 0.333 0.851
0.250 0.667 0.149
```

Computed properties:
For the energy relative to the elements, uncorrected, the calculation gives -35.94 kcal/mol of atoms. As for the total DFT energy (no corrections): -5.482 eV/atom.


No. 6
Computed, not measured: LiCo2P after structural relaxation at the PBE level of DFT.

Geometry as POSCAR:
```
LiCo2P
1.0
-0.964 1.359 -3.073
-2.325 0.695 1.037
0.610 4.644 1.862
Co Li P
2 1 1
direct
0.000 0.887 0.977
0.000 0.613 0.523
0.500 0.250 0.250
0.500 0.750 0.750
```

Computed properties:
As for the formation energy: -153 meV per atom. As for the total DFT energy (no corrections): -5.537 eV/atom.


No. 7
Computed, not measured: AgTeIN2 after structural relaxation at the PBE level of DFT.

Geometry as POSCAR:
```
AgTeIN2
1.0
4.322 0.000 0.000
0.000 4.322 0.000
0.000 0.000 7.025
I Ag N Te
1 1 2 1
direct
0.000 0.000 0.500
0.000 0.000 0.000
0.000 0.500 0.000
0.500 0.000 0.000
0.500 0.500 0.500
```

Computed properties:
The energy above the most stable polymorph in this dataset comes out at 534 meV/atom. For the energy relative to the elements, uncorrected, the calculation gives 41.14 kcal/mol of atoms. As for the total DFT energy (no corrections): -3.055 eV/atom.


No. 8
Computed, not measured: Cs2YSnF6 after structural relaxation at the PBE level of DFT.

Geometry as POSCAR:
```
Cs2YSnF6
1.0
7.151 0.000 0.000
0.000 7.151 0.000
3.576 3.576 4.602
F Sn Cs Y
6 1 2 1
direct
0.741 0.741 0.519
0.284 0.716 0.000
0.716 0.716 0.000
0.259 0.259 0.481
0.716 0.284 0.000
0.284 0.284 0.000
0.000 0.000 0.000
0.250 0.750 0.500
0.750 0.250 0.500
0.500 0.500 0.000
```

Computed properties:
For the energy relative to the elements, uncorrected, the calculation gives -66.63 kcal/mol of atoms. As for the total DFT energy (no corrections): -5.230 eV/atom.


total DFT energy (no corrections) of number 1 (Sr2CaAc3)? -2.874 eV/atom